1.
BaNa2SrAg | PBE | relaxed

Calculated values
The uncorrected energy comes out at -8.83 eV per formula unit. The crystal system is tetragonal. The formation energy is 53 meV/atom.

Lattice parameters (Å, degrees): 5.9499 5.9499 6.1667 90.00 90.00 90.00
Closest atoms and distances in Å follow each position.
Fractional positions:
Sr (0.0000, 0.0000, 0.5000)  2 Ag 3.08
Ba (0.5000, 0.5000, 0.5000)  4 Sr 4.21, 8 Na 4.28
Ag (0.0000, 0.0000, 0.0000)  4 Na 2.97, 2 Sr 3.08
Na (0.0000, 0.5000, 0.0000)  2 Ag 2.97
Na (0.5000, 0.0000, 0.0000)  2 Ag 2.97

2.
PS2O8 | PBE | relaxed

Calculated values
The uncorrected energy comes out at -64.46 eV per formula unit. The crystal system is monoclinic. The energy relative to the elements, uncorrected is -1.012 eV/atom.

Lattice parameters (Å, degrees): 4.4978 6.1138 6.1138 77.02 94.90 94.90
Closest atoms and distances in Å follow each position.
Fractional positions:
P (0.0000, 0.0000, 0.0000)  6 O 1.88-1.92
S (0.6515, 0.1902, 0.1902)  4 O 1.42-1.56
S (0.3485, 0.8098, 0.8098)  4 O 1.42-1.56
O (0.2113, 0.0438, 0.7403)  1 S 1.56
O (0.2113, 0.7403, 0.0438)  1 S 1.56
O (0.7887, 0.9562, 0.2596)  1 S 1.56
O (0.2675, 0.6622, 0.6622)  1 S 1.42
O (0.7887, 0.2596, 0.9562)  1 S 1.56
O (0.3149, 0.1529, 0.1529)  1 S 1.52
O (0.6851, 0.8471, 0.8471)  1 S 1.52
O (0.7325, 0.3378, 0.3378)  1 S 1.42

3.
BiPd5Pb4 | PBE | relaxed

Calculated values
The uncorrected energy comes out at -46.50 eV per formula unit. The crystal system is tetragonal. The formation energy is -182 meV/atom.

Lattice parameters (Å, degrees): 5.3711 7.0165 7.0165 81.58 67.50 67.50
Closest atoms and distances in Å follow each position.
Fractional positions:
Bi (0.1400, 0.0000, 0.0000)  6 Pd 2.67-2.83
Pd (0.7168, 0.3950, 0.9999)  4 Pb 2.83-2.97, 1 Bi 2.83, 3 Pd 2.95-3.01
Pd (0.1119, 0.9999, 0.6050)  4 Pb 2.83-2.97, 1 Bi 2.83, 3 Pd 2.95-3.01
Pd (0.7167, 0.0001, 0.3950)  4 Pb 2.83-2.97, 1 Bi 2.83, 3 Pd 2.95-3.01
Pd (0.1117, 0.6050, 0.0001)  4 Pb 2.83-2.97, 1 Bi 2.83, 3 Pd 2.95-3.01
Pd (0.6429, 0.0000, 0.0000)  2 Bi 2.67-2.70, 4 Pb 2.88, 4 Pd 2.95
Pb (0.5175, 0.3059, 0.6943)  5 Pd 2.83-2.97
Pb (0.8234, 0.6943, 0.6941)  5 Pd 2.83-2.97
Pb (0.2118, 0.3057, 0.3059)  5 Pd 2.83-2.97
Pb (0.5177, 0.6941, 0.3057)  5 Pd 2.83-2.97

4.
LiPr8Ni2 | PBE | relaxed

Calculated values
The uncorrected energy comes out at -51.65 eV per formula unit. The crystal system is monoclinic. The formation energy is 6 meV/atom.

Lattice parameters (Å, degrees): 5.8448 8.1665 8.1665 116.70 97.22 97.22
Closest atoms and distances in Å follow each position.
Fractional positions:
Li (0.9987, 0.0038, 0.0038)  4 Pr 3.32-3.45
Pr (0.5765, 0.3421, 0.0871)  2 Ni 2.83-2.92
Pr (0.5765, 0.0871, 0.3421)  2 Ni 2.83-2.92
Pr (0.1993, 0.4004, 0.4004)  4 Pr 3.24-3.54, 1 Li 3.32, 2 Ni 3.36
Pr (0.0000, 0.2507, 0.7542)  2 Ni 2.99-3.00
Pr (0.0000, 0.7542, 0.2507)  2 Ni 2.99-3.00
Pr (0.8015, 0.6065, 0.6065)  4 Pr 3.24-3.54, 1 Li 3.32, 2 Ni 3.36
Pr (0.4228, 0.9188, 0.6637)  2 Ni 2.83-2.92
Pr (0.4228, 0.6637, 0.9188)  2 Ni 2.83-2.92
Ni (0.5009, 0.7084, 0.2982)  6 Pr 2.83-3.00
Ni (0.5009, 0.2982, 0.7084)  6 Pr 2.83-3.00

5.
PRhPb2W | PBE | relaxed

Calculated values
The uncorrected energy comes out at -27.15 eV per formula unit. The crystal system is tetragonal. The formation energy is 1195 meV/atom.

Lattice parameters (Å, degrees): 5.2121 4.8611 5.2121 90.00 90.00 90.00
Closest atoms and distances in Å follow each position.
Fractional positions:
Pb (0.0000, 0.0000, 0.5000)  2 Rh 2.61
Pb (0.5000, 0.0000, 0.0000)  2 Rh 2.61
P (0.5000, 0.5000, 0.5000)  8 Pb 3.56, 4 W 3.69
Rh (0.0000, 0.0000, 0.0000)  2 W 2.43, 4 Pb 2.61
W (0.0000, 0.5000, 0.0000)  2 Rh 2.43

6.
Er2HfAl6 | PBE | relaxed

Calculated values
The uncorrected energy comes out at -45.37 eV per formula unit. The crystal system is hexagonal. The formation energy is -427 meV/atom.

Lattice parameters (Å, degrees): 3.2767 7.8412 7.8412 60.00 90.00 90.00
Closest atoms and distances in Å follow each position.
Fractional positions:
Er (0.0000, 0.3333, 0.3333)  12 Al 3.09-3.10, 2 Er 3.28
Er (0.0000, 0.6667, 0.6667)  12 Al 3.09-3.10, 2 Er 3.28
Hf (0.0000, 0.0000, 0.0000)  12 Al 3.06, 2 Hf 3.28
Al (0.4998, 0.6698, 0.0000)  3 Al 2.59-2.66
Al (0.5002, 0.0000, 0.3302)  3 Al 2.59-2.66
Al (0.5002, 0.3302, 0.0000)  3 Al 2.59-2.66
Al (0.5000, 0.6698, 0.3302)  3 Al 2.59-2.66
Al (0.4998, 0.0000, 0.6698)  3 Al 2.59-2.66
Al (0.5000, 0.3302, 0.6698)  3 Al 2.59-2.66